1.
VASP calculation (GGA-PBE) on ZrWSe2N after structural relaxation.

a b c (Å): 5.070 5.070 3.780
angles (deg): 90.00 90.00 90.00
Space group P4/mmm (No. 123)
One atom of each set of equivalent atoms:
Zr: 0.000 0.000 0.000 (multiplicity 1)
W: 0.500 0.500 0.500 (multiplicity 1)
Se: 0.000 0.500 0.500 (multiplicity 2)
N: 0.500 0.500 0.000 (multiplicity 1)

Calculated values
Polymorph energy (0 for the lowest one) ... 0 meV per atom
Volume ... 97.17 Å³/f.u.
ΔE_f (raw) ... 0.03 eV/atom

***

2.
VASP calculation (GGA-PBE) on ZrWSeN2 after structural relaxation.

a b c (Å): 4.113 4.113 5.456
angles (deg): 90.00 90.00 90.00
Space group P4/mmm (No. 123)
One atom of each set of equivalent atoms:
Zr: 0.000 0.000 0.000 (multiplicity 1)
W: 0.500 0.500 0.500 (multiplicity 1)
Se: 0.000 0.000 0.500 (multiplicity 1)
N: 0.000 0.500 0.000 (multiplicity 2)

Calculated values
Polymorph energy (0 for the lowest one) ... 1002 meV per atom
Volume ... 92.32 Å³/f.u.
ΔE_f (raw) ... 1.06 eV/atom

***

3.
VASP calculation (GGA-PBE) on Y4Se3N after structural relaxation.

a b c (Å): 9.691 7.613 5.613
angles (deg): 90.00 90.00 90.00
Space group Pmn2_1 (No. 31)
One atom of each set of equivalent atoms:
Y: 0.000 0.139 0.000 (multiplicity 2)
Y: 0.000 0.854 0.485 (multiplicity 2)
Y: 0.214 0.256 0.477 (multiplicity 4)
Se: 0.000 0.766 0.988 (multiplicity 2)
Se: 0.240 0.351 0.979 (multiplicity 4)
N: 0.000 0.149 0.435 (multiplicity 2)

Calculated values
Volume ... 207.07 Å³/f.u.
ΔE_f (raw) ... -1.55 eV/atom

***

4.
VASP calculation (GGA-PBE) on YSeN2 after structural relaxation.

a b c (Å): 3.5638 3.5638 18.5987
angles (deg): 90.00 90.00 120.00
Space group R-3m (No. 166, hexagonal axes)
One atom of each set of equivalent atoms:
Y: 0.0000 0.0000 0.0000 (multiplicity 3)
Se: 0.0000 0.0000 0.5000 (multiplicity 3)
N: 0.0000 0.0000 0.3977 (multiplicity 6)

Calculated values
Volume ... 68.19 Å³/f.u.
ΔE_f (raw) ... -0.14 eV/atom

***

5.
VASP calculation (GGA-PBE) on YSe2N after structural relaxation.

a b c (Å): 5.445 5.445 12.740
angles (deg): 90.00 90.00 90.00
Space group I-42d (No. 122)
One atom of each set of equivalent atoms:
Y: 0.000 0.000 0.000 (multiplicity 4)
Se: 0.151 0.250 0.625 (multiplicity 8)
N: 0.000 0.000 0.500 (multiplicity 4)

Calculated values
Volume ... 94.41 Å³/f.u.
ΔE_f (raw) ... 0.14 eV/atom

***

6.
VASP calculation (GGA-PBE) on Y5Se5N2 after structural relaxation.

a b c (Å): 13.086 3.871 10.873
angles (deg): 90.00 104.75 90.00
Space group C2/m (No. 12)
One atom of each set of equivalent atoms:
Y: 0.000 0.000 0.000 (multiplicity 2)
Y: 0.094 0.000 0.365 (multiplicity 4)
Y: 0.147 0.500 0.798 (multiplicity 4)
Se: 0.000 0.500 0.500 (multiplicity 2)
Se: 0.164 0.500 0.072 (multiplicity 4)
Se: 0.246 0.000 0.633 (multiplicity 4)
N: 0.045 0.000 0.800 (multiplicity 4)

Calculated values
Volume ... 266.28 Å³/f.u.
ΔE_f (raw) ... -1.66 eV/atom

***

- ΔE_f (raw) of number 2 (ZrWSeN2)?
  1.06 eV/atom